Entry 1:
CdIn2Ag8: optimized geometry, GGA-PBE.

## Properties
The formation enthalpy at 0 K is -0.03 eV per atom. The calculation puts the total energy at -2.684 eV/atom. As for the offset from the most stable computed form: 0.0000 eV/atom.

Cell: 4.265 6.702 7.905 Å, 105.69 105.65 90.00°
Sites, in units of the cell vectors:
Cd  0.500  0.000  0.000
Ag  0.137  0.185  0.274
In  0.223  0.647  0.445
Ag  0.863  0.815  0.726
Ag  0.589  0.454  0.178
In  0.777  0.353  0.555
Ag  0.320  0.087  0.640
Ag  0.680  0.913  0.360
Ag  0.957  0.273  0.914
Ag  0.043  0.727  0.086
Ag  0.411  0.546  0.822

Entry 2:
Cd2In3Ag7: optimized geometry, GGA-PBE.

## Properties
The formation enthalpy at 0 K is 0.05 eV per atom. The calculation puts the total energy at -2.451 eV/atom.

Cell: 3.019 4.939 17.401 Å, 105.54 90.00 90.00°
Sites, in units of the cell vectors:
In  0.000  0.844  0.619
Ag  0.500  0.289  0.544
In  0.500  0.500  0.000
Ag  0.500  0.004  0.835
Ag  0.500  0.996  0.165
In  0.000  0.156  0.381
Ag  0.000  0.527  0.859
Cd  0.500  0.413  0.716
Cd  0.500  0.587  0.284
Ag  0.000  0.000  0.000
Ag  0.500  0.711  0.456
Ag  0.000  0.473  0.141

Repeat the second record exactly.
Cd2In3Ag7: optimized geometry, GGA-PBE.

## Properties
The formation enthalpy at 0 K is 0.05 eV per atom. The calculation puts the total energy at -2.451 eV/atom.

Cell: 3.019 4.939 17.401 Å, 105.54 90.00 90.00°
Sites, in units of the cell vectors:
In  0.000  0.844  0.619
Ag  0.500  0.289  0.544
In  0.500  0.500  0.000
Ag  0.500  0.004  0.835
Ag  0.500  0.996  0.165
In  0.000  0.156  0.381
Ag  0.000  0.527  0.859
Cd  0.500  0.413  0.716
Cd  0.500  0.587  0.284
Ag  0.000  0.000  0.000
Ag  0.500  0.711  0.456
Ag  0.000  0.473  0.141